No. 1
DFT (GGA-PBE) results for CdHg2IrI after structural relaxation.

It has space group P4/mmm (No. 123), with a = 5.5077 Å, b = 5.5077 Å, c = 5.2840 Å, α = 90.00°, β = 90.00° and γ = 90.00°. Symmetry generates all atoms from Cd at (0.0000, 0.0000, 0.0000), Hg at (0.0000, 0.5000, 0.0000), Ir at (0.0000, 0.0000, 0.5000) and I at (0.5000, 0.5000, 0.5000).

As for the formation energy from raw total energies: 0.889 eV per atom.

***

No. 2
DFT (GGA-PBE) results for Ti6Co5Os after structural relaxation.

It has space group C2/m (No. 12), with a = 13.4192 Å, b = 6.0068 Å, c = 4.2524 Å, α = 90.00°, β = 108.41° and γ = 90.00°. Symmetry generates all atoms from Ti at (0.0000, 0.2454, 0.0000), Ti at (0.1687, 0.2478, 0.6688), Co at (0.0000, 0.0000, 0.5000), Co at (0.1661, 0.5000, 0.1661), Co at (0.1676, 0.0000, 0.1677) and Os at (0.0000, 0.5000, 0.5000).

As for the formation energy: -41.9 kJ/mol of atoms.

***

No. 3
DFT (GGA-PBE) results for CsLaB3 after structural relaxation.

It has space group Pm-3m (No. 221), with a = 4.7759 Å, b = 4.7759 Å, c = 4.7759 Å, α = 90.00°, β = 90.00° and γ = 90.00°. Symmetry generates all atoms from Cs at (0.0000, 0.0000, 0.0000), La at (0.5000, 0.5000, 0.5000) and B at (0.0000, 0.0000, 0.5000).

The offset from the most stable computed form comes out at 519.7 meV per atom. As for the formation energy: 235.2 kJ/mol of atoms.

***

No. 4
DFT (GGA-PBE) results for Nd5HoZn4 after structural relaxation.

It has space group P4/mmm (No. 123), with a = 3.6809 Å, b = 3.6809 Å, c = 19.7436 Å, α = 90.00°, β = 90.00° and γ = 90.00°. Symmetry generates all atoms from Nd at (0.0000, 0.0000, 0.0000), Nd at (0.0000, 0.0000, 0.1865), Nd at (0.0000, 0.0000, 0.3725), Ho at (0.5000, 0.5000, 0.5000), Zn at (0.5000, 0.5000, 0.0938) and Zn at (0.5000, 0.5000, 0.2807).

As for the formation energy: -23.0 kJ/mol of atoms.

***

Ρ for every record listed, in sequence, given in g/cm3: 8.63, 7.88, 4.64, 7.12.
Energy for every record listed, in sequence, given in eV/cell: -7.49, -198.69, -13.63, -35.90.